First-principles (GGA-PBE) data for an optimized crystal structure of VCrFeSb, as listed in Alexandria.

abc: 4.244 4.244 4.244
angles: 60.00 60.00 60.00
Fractional positions:
Sb 0.000 0.000 0.000
V 0.500 0.500 0.500
Fe 0.750 0.750 0.750
Cr 0.250 0.250 0.250

Results
Symmetry ... F-43m
Theoretical density ... 8.6 Mg/m³
E_tot ... -7.77 eV per atom
D(E_F) ... 2.1 states/eV/cell